The following is a DFT calculation (PBE) of a relaxed LaY3TmSc crystal.

Cell: 4.965 7.931 10.078 Å, 90.00 90.00 108.24°
Positions (direct):
Tm  0.000  0.000  0.000
Tm  0.000  0.000  0.500
Y  0.171  0.342  0.750
Y  0.667  0.335  0.500
Y  0.333  0.665  0.000
Y  0.333  0.665  0.500
Y  0.667  0.335  0.000
Y  0.829  0.658  0.250
La  0.496  0.991  0.750
La  0.504  0.009  0.250
Sc  0.831  0.662  0.750
Sc  0.169  0.338  0.250

Output
As for the total moment: 0.0 μB/f.u. As for the space group: No. 63.

The following is a DFT calculation (PBE) of a relaxed LaYTmSc crystal.

Cell: 3.613 5.639 6.106 Å, 90.00 90.00 90.00°
Positions (direct):
Y  0.000  0.500  0.878
Sc  0.500  0.000  0.719
Tm  0.500  0.500  0.390
La  0.000  0.000  0.229

Output
As for the total moment: 0.0 μB/f.u. As for the space group: No. 25. The value obtained for the energy relative to the lowest polymorph listed for this composition is 0 meV/atom.

The following is a DFT calculation (PBE) of a relaxed LaYTmSc crystal.

Cell: 5.604 5.604 5.604 Å, 60.00 60.00 60.00°
Positions (direct):
Tm  0.500  0.500  0.500
La  0.250  0.250  0.250
Sc  0.000  0.000  0.000
Y  0.750  0.750  0.750

Output
As for the total moment: 0.0 μB/f.u. As for the space group: No. 216. The value obtained for the energy relative to the lowest polymorph listed for this composition is 44 meV/atom.

The following is a DFT calculation (PBE) of a relaxed LaTmScZn crystal.

Cell: 3.481 3.481 8.650 Å, 90.00 90.00 90.00°
Positions (direct):
La  0.000  0.000  0.083
Tm  0.500  0.500  0.767
Zn  0.000  0.000  0.556
Sc  0.500  0.500  0.379

Output
As for the total moment: 0.0 μB/f.u. As for the space group: No. 99. The value obtained for the energy relative to the lowest polymorph listed for this composition is 0 meV/atom.

What DFT total energy values result from the calculations? In sequence: -5.800; -5.502; -5.458; -4.396 eV/atom.